Record 1
This record from Alexandria via LeMat-Bulk describes a geometry-optimized CrFeCo4 structure. The functional is GGA-PBE.

Values from the calculation:
* D(E_F): 5.50 states/eV/cell
* E_form: 0.098 eV per atom

a = 3.9733 Å, b = 3.9733 Å, c = 4.9292 Å
α = 90.00°, β = 90.00°, γ = 120.00°
Space group P6/mmm (No. 191)
Unique sites:
Cr (0.0000, 0.0000, 0.0000)
Fe (0.0000, 0.0000, 0.5000)
Co (0.3333, 0.6667, 0.2570)



Record 2
This record from Alexandria via LeMat-Bulk describes a geometry-optimized Na2NdH8Rh structure. The functional is GGA-PBE.

Values from the calculation:
* uncorrected energy: -0.2787 Ry per atom

a = 4.7852 Å, b = 4.7852 Å, c = 6.2711 Å
α = 90.00°, β = 90.00°, γ = 120.00°
Space group P-3m1 (No. 164)
Unique sites:
Na (0.3333, 0.6667, 0.3644)
Nd (0.0000, 0.0000, 0.0000)
H (0.1582, 0.3164, 0.6646)
H (0.3333, 0.6667, 0.0113)
Rh (0.0000, 0.0000, 0.5000)



Record 3
This record from Alexandria via LeMat-Bulk describes a geometry-optimized Co4HIr structure. The functional is GGA-PBE.

Values from the calculation:
* uncorrected energy: -0.4959 Ry per atom
* D(E_F): 23.88 states/eV/cell

a = 20.962 Å, b = 2.607 Å, c = 4.457 Å
α = 90.00°, β = 93.90°, γ = 90.00°
Space group C2/m (No. 12)
Unique sites:
Co (0.000, 0.000, 0.000)
Co (0.000, 0.500, 0.500)
Co (0.098, 0.000, 0.712)
Co (0.099, 0.500, 0.191)
Co (0.196, 0.000, 0.066)
H (0.049, 0.000, 0.351)
Ir (0.197, 0.500, 0.572)



no.,magnetic moment (Bohr magnetons per cell)
1,4.91
2,0.00
3,25.66